1.
A plane-wave DFT calculation with PBE-GGA was carried out for LiNpScO6 after structural relaxation.

abc: 4.904 4.904 9.556
angles: 90.00 90.00 90.00
Space group P4_2nm (No. 102)
Symmetry-distinct sites (fractional):
Li 0.000 0.000 0.000 (multiplicity 2)
Np 0.000 0.000 0.334 (multiplicity 2)
Sc 0.000 0.000 0.672 (multiplicity 2)
O 0.186 0.186 0.492 (multiplicity 4)
O 0.195 0.195 0.181 (multiplicity 4)
O 0.208 0.208 0.830 (multiplicity 4)

## Properties
For the density of states at the Fermi level, the calculation gives 0.974 states/eV/atom. Its crystal system is tetragonal. The value obtained for the energy relative to the elements, uncorrected is -238.38 kJ/mol of atoms. The total energy is -8.130 eV per atom. Its density is 5.6 Mg/m³.

2.
A plane-wave DFT calculation with PBE-GGA was carried out for TlFeNi after structural relaxation.

abc: 3.027 3.027 10.325
angles: 90.00 90.00 90.00
Space group I4mm (No. 107)
Symmetry-distinct sites (fractional):
Tl 0.000 0.000 0.000 (multiplicity 2)
Fe 0.000 0.000 0.697 (multiplicity 2)
Ni 0.000 0.000 0.313 (multiplicity 2)

## Properties
For the density of states at the Fermi level, the calculation gives 0.785 states/eV/atom. For the formation energy, the calculation gives 1.18 eV per formula unit. Its crystal system is tetragonal. Its polymorph energy (0 for the lowest one) is 0 meV/atom. The total energy is -5.144 eV per atom. Its density is 11.2 Mg/m³.